1.
Below is crystalline NdGe12Rh4 at its relaxed geometry, with properties calculated at the GGA-PBE level.

Structure (POSCAR):
```
NdGe12Rh4
1.0
7.494 0.000 0.000
-2.498 7.066 0.000
-2.498 -3.533 6.119
Ge Nd Rh
12 1 4
direct
0.504 0.154 0.350
0.846 0.650 0.496
0.154 0.350 0.504
0.350 0.504 0.154
0.154 0.650 0.804
0.846 0.350 0.196
0.650 0.804 0.154
0.650 0.496 0.846
0.350 0.196 0.846
0.496 0.846 0.650
0.804 0.154 0.650
0.196 0.846 0.350
0.000 0.000 0.000
0.000 0.000 0.500
0.000 0.500 0.000
0.500 0.500 0.500
0.500 0.000 0.000
```

Results
Final energy   -5.558 eV per atom
N(E_F)   10.09 states/eV per cell
E_form   -6.65 kcal/mol of atoms
Symmetry   No. 204

***

2.
Below is crystalline Nd3Ge4Rh2 at its relaxed geometry, with properties calculated at the GGA-PBE level.

Structure (POSCAR):
```
Nd3Ge4Rh2
1.0
-0.985 1.213 4.032
-4.731 -2.554 -2.706
4.864 -6.161 3.041
Ge Nd Rh
4 3 2
direct
0.287 0.575 0.924
0.097 0.194 0.397
0.903 0.806 0.603
0.713 0.425 0.076
0.380 0.760 0.306
0.000 0.000 0.000
0.620 0.240 0.694
0.693 0.386 0.367
0.307 0.614 0.633
```

Results
Excess energy over the best structure of this formula in the dataset   0 meV/atom
Final energy   -6.144 eV per atom
N(E_F)   4.60 states/eV per cell
E_form   -20.04 kcal/mol of atoms
Symmetry   No. 12

***

What did the first record say?
Below is crystalline NdGe12Rh4 at its relaxed geometry, with properties calculated at the GGA-PBE level.

Structure (POSCAR):
```
NdGe12Rh4
1.0
7.494 0.000 0.000
-2.498 7.066 0.000
-2.498 -3.533 6.119
Ge Nd Rh
12 1 4
direct
0.504 0.154 0.350
0.846 0.650 0.496
0.154 0.350 0.504
0.350 0.504 0.154
0.154 0.650 0.804
0.846 0.350 0.196
0.650 0.804 0.154
0.650 0.496 0.846
0.350 0.196 0.846
0.496 0.846 0.650
0.804 0.154 0.650
0.196 0.846 0.350
0.000 0.000 0.000
0.000 0.000 0.500
0.000 0.500 0.000
0.500 0.500 0.500
0.500 0.000 0.000
```

Results
Final energy   -5.558 eV per atom
N(E_F)   10.09 states/eV per cell
E_form   -6.65 kcal/mol of atoms
Symmetry   No. 204

***

Copy entry 1 word for word.
Below is crystalline NdGe12Rh4 at its relaxed geometry, with properties calculated at the GGA-PBE level.

Structure (POSCAR):
```
NdGe12Rh4
1.0
7.494 0.000 0.000
-2.498 7.066 0.000
-2.498 -3.533 6.119
Ge Nd Rh
12 1 4
direct
0.504 0.154 0.350
0.846 0.650 0.496
0.154 0.350 0.504
0.350 0.504 0.154
0.154 0.650 0.804
0.846 0.350 0.196
0.650 0.804 0.154
0.650 0.496 0.846
0.350 0.196 0.846
0.496 0.846 0.650
0.804 0.154 0.650
0.196 0.846 0.350
0.000 0.000 0.000
0.000 0.000 0.500
0.000 0.500 0.000
0.500 0.500 0.500
0.500 0.000 0.000
```

Results
Final energy   -5.558 eV per atom
N(E_F)   10.09 states/eV per cell
E_form   -6.65 kcal/mol of atoms
Symmetry   No. 204

***

Number 2 is which compound? Nd3Ge4Rh2